A plane-wave DFT calculation with GGA-PBE was carried out for a relaxed RuPtRh4 crystal.

Values from the calculation:
**Final energy**: -6.992 eV per atom
**Volume**: 366 Å³/cell
**ΔE to the lowest computed polymorph**: 236.8 meV per atom
**D(E_F)**: 1.876 states/eV per atom
**Calculated formation energy**: 267 kJ/mol of formula units

a b c (Å): 7.151 7.151 7.151
angles (deg): 90.00 90.00 90.00
Space group F-43m (No. 216)
Unique sites:
Ru 0.000 0.000 0.000 [4 per cell]
Pt 0.250 0.250 0.250 [4 per cell]
Rh 0.125 0.125 0.625 [16 per cell]